(1)
## MnNbNiOs (GGA-PBE)

Data for a relaxed structure of MnNbNiOs.

Properties
Formation energy = -0.03 eV per atom
Uncorrected energy = -9.10 eV per atom
M_tot = 4.069 μB/cell

Unit cell a=4.3526 b=4.3526 c=4.3526 alpha=60.00 beta=60.00 gamma=60.00
Fractional coordinates of all 4 atoms:
Mn: 0.0000 0.0000 0.0000
Nb: 0.5000 0.5000 0.5000
Ni: 0.7500 0.7500 0.7500
Os: 0.2500 0.2500 0.2500

=====

(2)
## MnNbNiPb2 (GGA-PBE)

Data for a relaxed structure of MnNbNiPb2.

Properties
Formation energy = 0.87 eV per atom
Uncorrected energy = -5.62 eV per atom
M_tot = 3.488 μB/cell

Unit cell a=4.9473 b=4.9473 c=4.8183 alpha=90.00 beta=90.00 gamma=90.00
Fractional coordinates of all 5 atoms:
Mn: 0.0000 0.0000 0.0000
Nb: 0.5000 0.5000 0.0000
Ni: 0.5000 0.5000 0.5000
Pb: 0.0000 0.5000 0.5000
Pb: 0.5000 0.0000 0.5000

=====

(3)
## MnNbNi2Pd (GGA-PBE)

Data for a relaxed structure of MnNbNi2Pd.

Properties
Formation energy = 1.69 eV per atom
Uncorrected energy = -5.51 eV per atom
M_tot = 0.828 μB/cell

Unit cell a=4.4980 b=4.4980 c=4.7026 alpha=90.00 beta=90.00 gamma=90.00
Fractional coordinates of all 5 atoms:
Mn: 0.0000 0.0000 0.0000
Nb: 0.5000 0.5000 0.0000
Ni: 0.0000 0.5000 0.5000
Ni: 0.5000 0.0000 0.5000
Pd: 0.5000 0.5000 0.5000

=====

(4)
## MnNbNiPt (GGA-PBE)

Data for a relaxed structure of MnNbNiPt.

Properties
Formation energy = -0.38 eV per atom
Uncorrected energy = -8.14 eV per atom
M_tot = 1.828 μB/cell

Unit cell a=3.7018 b=3.8442 c=3.9527 alpha=90.00 beta=90.00 gamma=90.00
Fractional coordinates of all 4 atoms:
Mn: 0.0000 0.0000 0.0000
Nb: 0.5000 0.5000 0.0000
Ni: 0.0000 0.5000 0.5000
Pt: 0.5000 0.0000 0.5000

=====

(5)
## Mn2NbNiRu (GGA-PBE)

Data for a relaxed structure of Mn2NbNiRu.

Properties
Formation energy = 1.60 eV per atom
Uncorrected energy = -7.09 eV per atom
M_tot = 6.891 μB/cell

Unit cell a=4.5102 b=4.5102 c=4.4343 alpha=90.00 beta=90.00 gamma=90.00
Fractional coordinates of all 5 atoms:
Mn: 0.0000 0.5000 0.0000
Mn: 0.5000 0.0000 0.0000
Nb: 0.0000 0.0000 0.0000
Ni: 0.0000 0.0000 0.5000
Ru: 0.5000 0.5000 0.5000

=====

(6)
## Mn2Nb2NiS6 (GGA-PBE)

Data for a relaxed structure of Mn2Nb2NiS6.

Properties
Uncorrected energy = -6.88 eV per atom
ΔE_f (raw) = -0.603 eV per atom
M_tot = 7.905 μB/cell

Unit cell a=6.0532 b=6.0532 c=6.3644 alpha=99.48 beta=99.48 gamma=121.44
Fractional coordinates of all 11 atoms:
Mn: 0.1599 0.8401 0.0000
Mn: 0.8401 0.1599 0.0000
Nb: 0.3067 0.6933 0.5000
Nb: 0.6933 0.3067 0.5000
Ni: 0.0000 0.0000 0.5000
S: 0.1066 0.4254 0.7645
S: 0.2392 0.2392 0.2844
S: 0.4254 0.1066 0.7645
S: 0.5746 0.8934 0.2355
S: 0.7608 0.7608 0.7156
S: 0.8934 0.5746 0.2355

=====

(7)
## ScMnNbNi (GGA-PBE)

Data for a relaxed structure of ScMnNbNi.

Properties
Formation energy = -0.12 eV per atom
Uncorrected energy = -7.95 eV per atom
M_tot = 0.000 μB/cell

Unit cell a=4.3933 b=4.3933 c=4.3933 alpha=60.00 beta=60.00 gamma=60.00
Fractional coordinates of all 4 atoms:
Sc: 0.0000 0.0000 0.0000
Mn: 0.2500 0.2500 0.2500
Nb: 0.5000 0.5000 0.5000
Ni: 0.7500 0.7500 0.7500

=====

(8)
## MnNbNi2Se (GGA-PBE)

Data for a relaxed structure of MnNbNi2Se.

Properties
Uncorrected energy = -6.28 eV per atom
ΔE_f (raw) = 0.580 eV per atom
M_tot = 0.710 μB/cell

Unit cell a=4.3003 b=4.3003 c=4.4777 alpha=90.00 beta=90.00 gamma=90.00
Fractional coordinates of all 5 atoms:
Mn: 0.0000 0.0000 0.0000
Nb: 0.5000 0.5000 0.0000
Ni: 0.0000 0.5000 0.5000
Ni: 0.5000 0.0000 0.5000
Se: 0.0000 0.0000 0.5000